First-principles (GGA-PBE) data for a relaxed NaHf2RuAu crystal, as listed in Alexandria.

## Properties
- Space group: P4/mmm (123)
- Formation energy: 1.63 eV per atom
- Magnetic moment: 0.002 μB/atom

The structure in POSCAR format:
```
NaHf2RuAu
1.0
4.840 0.000 0.000
0.000 4.468 0.000
0.000 0.000 4.840
Na Hf Au Ru
1 2 1 1
direct
0.000 0.000 0.000 Na
0.000 0.000 0.500 Hf
0.500 0.000 0.000 Hf
0.000 0.500 0.000 Au
0.500 0.500 0.500 Ru
```

First-principles (GGA-PBE) data for a relaxed BaDyMg2Pb4 crystal, as listed in Alexandria.

## Properties
- Space group: R-3m (166)
- Formation energy: -0.27 eV per atom
- Magnetic moment: 0.000 μB/atom

The structure in POSCAR format:
```
BaDyMg2Pb4
1.0
-4.743 0.997 -1.879
-4.137 -2.483 1.935
-4.212 7.259 7.292
Ba Dy Mg Pb
1 1 2 4
direct
0.000 0.000 0.000 Ba
0.500 0.500 0.500 Dy
0.759 0.759 0.723 Mg
0.241 0.241 0.277 Mg
0.397 0.397 0.808 Pb
0.869 0.869 0.392 Pb
0.131 0.131 0.608 Pb
0.603 0.603 0.192 Pb
```

First-principles (GGA-PBE) data for a relaxed Mn2CuTc crystal, as listed in Alexandria.

## Properties
- Space group: I-4m2 (119)
- Formation energy: 0.17 eV per atom
- Magnetic moment: 0.287 μB/atom

The structure in POSCAR format:
```
Mn2CuTc
1.0
4.544 0.012 0.000
1.503 4.288 0.000
-3.023 -2.150 2.624
Cu Mn Tc
1 2 1
direct
0.750 0.250 0.500 Cu
0.000 0.000 0.000 Mn
0.250 0.750 0.500 Mn
0.500 0.500 0.000 Tc
```

First-principles (GGA-PBE) data for a relaxed KNdCdPb crystal, as listed in Alexandria.

## Properties
- Space group: F-43m (216)
- Formation energy: -0.18 eV per atom
- Magnetic moment: 0.000 μB/atom

The structure in POSCAR format:
```
KNdCdPb
1.0
-5.053 1.388 2.103
-0.994 -0.520 5.534
-0.550 4.609 3.215
Pb K Nd Cd
1 1 1 1
direct
0.250 0.250 0.250 Pb
0.000 0.000 0.000 K
0.500 0.500 0.500 Nd
0.750 0.750 0.750 Cd
```

First-principles (GGA-PBE) data for a relaxed Tb2AlIr3 crystal, as listed in Alexandria.

## Properties
- Space group: Immm (71)
- ΔE to the lowest computed polymorph: 544 meV/atom
- Formation energy: -0.37 eV per atom
- Magnetic moment: 0.000 μB/atom

The structure in POSCAR format:
```
Tb2AlIr3
1.0
-0.850 4.414 -0.145
-2.277 -0.600 -4.901
-2.832 -2.683 4.661
Tb Al Ir
2 1 3
direct
0.684 0.184 0.368 Tb
0.316 0.816 0.632 Tb
0.000 0.500 0.000 Al
0.369 0.369 0.737 Ir
0.000 0.000 0.000 Ir
0.631 0.631 0.263 Ir
```

First-principles (GGA-PBE) data for a relaxed Cs2GeBF crystal, as listed in Alexandria.

## Properties
- Space group: P4/mmm (123)
- Magnetic moment: 0.000 μB/atom
- Formation energy (no corrections): -499.4 meV/atom

The structure in POSCAR format:
```
Cs2GeBF
1.0
6.605 0.000 0.000
0.000 3.747 0.000
0.000 0.000 6.605
Cs Ge B F
2 1 1 1
direct
0.000 0.000 0.500 Cs
0.500 0.000 0.000 Cs
0.000 0.500 0.000 Ge
0.000 0.000 0.000 B
0.500 0.500 0.500 F
```

First-principles (GGA-PBE) data for a relaxed BaHfTe2Se crystal, as listed in Alexandria.

## Properties
- Space group: P4/mmm (123)
- Magnetic moment: 0.000 μB/atom
- Formation energy (no corrections): -1219.6 meV/atom

The structure in POSCAR format:
```
BaHfTe2Se
1.0
-3.064 4.328 2.152
-2.565 0.703 -5.066
-3.681 -3.305 1.405
Te Hf Ba Se
2 1 1 1
direct
0.000 0.500 0.000 Te
0.500 0.000 0.000 Te
0.000 0.000 0.000 Hf
0.500 0.500 0.500 Ba
0.000 0.000 0.500 Se
```

First-principles (GGA-PBE) data for a relaxed RbZnInF4 crystal, as listed in Alexandria.

## Properties
- Space group: P2_1/m (11)
- Magnetic moment: 0.000 μB/atom
- Formation energy (no corrections): -2257.9 meV/atom

The structure in POSCAR format:
```
RbZnInF4
1.0
-0.012 0.462 -6.236
-1.343 -5.996 -0.442
-7.430 1.375 3.919
Rb Zn In F
2 2 2 8
direct
0.679 0.750 0.939 Rb
0.321 0.250 0.061 Rb
0.288 0.750 0.297 Zn
0.712 0.250 0.703 Zn
0.900 0.750 0.567 In
0.100 0.250 0.433 In
0.934 0.495 0.784 F
0.066 0.995 0.216 F
0.066 0.505 0.216 F
0.934 0.005 0.784 F
0.463 0.750 0.161 F
0.537 0.250 0.839 F
0.506 0.750 0.545 F
0.494 0.250 0.455 F
```

First-principles (GGA-PBE) data for a relaxed LiVCr crystal, as listed in Alexandria.

## Properties
- Space group: Cm (8)
- ΔE to the lowest computed polymorph: 133 meV/atom
- Formation energy: 0.29 eV per atom
- Magnetic moment: 0.000 μB/atom

The structure in POSCAR format:
```
LiVCr
1.0
7.146 0.000 -0.665
0.000 2.889 0.000
-0.779 0.000 3.906
Li V Cr
2 2 2
direct
0.046 0.000 0.519 Li
0.046 0.500 0.019 Li
0.684 0.000 0.845 V
0.684 0.500 0.345 V
0.383 0.000 0.190 Cr
0.383 0.500 0.690 Cr
```

First-principles (GGA-PBE) data for a relaxed Ce5Ru2Au crystal, as listed in Alexandria.

## Properties
- Space group: Cmcm (63)
- Formation energy: -0.38 eV per atom
- Magnetic moment: 0.060 μB/atom

The structure in POSCAR format:
```
Ce5Ru2Au
1.0
4.583 0.000 0.000
-2.292 5.318 0.000
0.000 0.000 15.628
Ce Ru Au
10 4 2
direct
0.897 0.795 0.929 Ce
0.897 0.795 0.571 Ce
0.428 0.856 0.393 Ce
0.428 0.856 0.107 Ce
0.722 0.444 0.250 Ce
0.278 0.556 0.750 Ce
0.572 0.144 0.607 Ce
0.572 0.144 0.893 Ce
0.103 0.205 0.071 Ce
0.103 0.205 0.429 Ce
0.756 0.512 0.413 Ru
0.756 0.512 0.087 Ru
0.244 0.488 0.587 Ru
0.244 0.488 0.913 Ru
0.993 0.985 0.750 Au
0.007 0.015 0.250 Au
```

First-principles (GGA-PBE) data for a relaxed BaHf2Sc crystal, as listed in Alexandria.

## Properties
- Space group: I-42d (122)
- ΔE to the lowest computed polymorph: 100 meV/atom
- Formation energy: 0.91 eV per atom
- Magnetic moment: 0.000 μB/atom

The structure in POSCAR format:
```
BaHf2Sc
1.0
4.477 0.000 0.000
0.000 4.477 0.000
2.239 2.239 11.116
Sc Hf Ba
2 4 2
direct
0.500 0.500 0.000 Sc
0.250 0.750 0.500 Sc
0.612 0.125 0.250 Hf
0.138 0.625 0.250 Hf
0.375 0.388 0.750 Hf
0.875 0.862 0.750 Hf
0.000 0.000 0.000 Ba
0.750 0.250 0.500 Ba
```

First-principles (GGA-PBE) data for a relaxed CsBa2NaP crystal, as listed in Alexandria.

## Properties
- Space group: P4/mmm (123)
- Formation energy: -0.27 eV per atom
- Magnetic moment: 0.001 μB/atom

The structure in POSCAR format:
```
CsBa2NaP
1.0
-0.095 0.141 -6.413
2.659 -5.836 -0.168
-5.723 -2.608 0.027
Cs P Ba Na
1 1 2 1
direct
0.500 0.500 0.500 Cs
0.000 0.000 0.000 P
0.000 0.500 0.000 Ba
0.500 0.000 0.000 Ba
0.000 0.000 0.500 Na
```

First-principles (GGA-PBE) data for a relaxed Ta14NbRh crystal, as listed in Alexandria.

## Properties
- Space group: Cmmm (65)
- Formation energy: -0.08 eV per atom
- Magnetic moment: 0.000 μB/atom

The structure in POSCAR format:
```
Ta14NbRh
1.0
5.731 0.173 0.000
-2.087 5.340 0.000
0.000 0.000 9.297
Ta Nb Rh
14 1 1
direct
0.125 0.875 0.000 Ta
0.625 0.375 0.000 Ta
0.125 0.375 0.500 Ta
0.125 0.375 0.000 Ta
0.625 0.875 0.500 Ta
0.625 0.875 0.000 Ta
0.375 0.125 0.745 Ta
0.375 0.125 0.255 Ta
0.875 0.625 0.745 Ta
0.875 0.625 0.255 Ta
0.374 0.626 0.751 Ta
0.374 0.626 0.249 Ta
0.876 0.124 0.751 Ta
0.876 0.124 0.249 Ta
0.125 0.875 0.500 Nb
0.625 0.375 0.500 Rh
```

First-principles (GGA-PBE) data for a relaxed TaBeTe2I crystal, as listed in Alexandria.

## Properties
- Space group: P4/mmm (123)
- ΔE to the lowest computed polymorph: 245 meV/atom
- Magnetic moment: 0.000 μB/atom
- Formation energy (no corrections): 952.9 meV/atom

The structure in POSCAR format:
```
TaBeTe2I
1.0
-4.093 0.700 2.660
2.479 -1.125 4.111
1.189 4.742 0.581
I Be Te Ta
1 1 2 1
direct
0.000 0.000 0.500 I
0.000 0.000 0.000 Be
0.000 0.500 0.000 Te
0.500 0.000 0.000 Te
0.500 0.500 0.500 Ta
```

First-principles (GGA-PBE) data for a relaxed PmEuTlPb crystal, as listed in Alexandria.

## Properties
- Space group: F-43m (216)
- Formation energy: -0.44 eV per atom
- Magnetic moment: 1.827 μB/atom

The structure in POSCAR format:
```
PmEuTlPb
1.0
5.573 0.000 0.000
2.786 4.826 0.000
2.786 1.609 4.550
Pb Eu Tl Pm
1 1 1 1
direct
0.000 0.000 0.000 Pb
0.750 0.750 0.750 Eu
0.500 0.500 0.500 Tl
0.250 0.250 0.250 Pm
```

First-principles (GGA-PBE) data for a relaxed K2TiSI crystal, as listed in Alexandria.

## Properties
- Space group: P4/mmm (123)
- Magnetic moment: 0.681 μB/atom
- Formation energy (no corrections): 287.6 meV/atom

The structure in POSCAR format:
```
K2TiSI
1.0
-4.957 2.491 -3.466
2.723 -0.612 -4.334
-2.506 -5.998 -0.727
I K S Ti
1 2 1 1
direct
0.000 0.500 0.000 I
0.000 0.000 0.500 K
0.500 0.000 0.000 K
0.500 0.500 0.500 S
0.000 0.000 0.000 Ti
```

First-principles (GGA-PBE) data for a relaxed TbDy12Sc2 crystal, as listed in Alexandria.

## Properties
- Space group: P2/m (10)
- Formation energy: 0.12 eV per atom
- Magnetic moment: 0.000 μB/atom

The structure in POSCAR format:
```
TbDy12Sc2
1.0
-4.242 -1.404 3.981
-4.790 -1.829 -3.086
10.298 -25.120 13.208
Tb Dy Sc
2 24 4
direct
0.500 0.000 0.000 Tb
0.000 0.500 0.000 Tb
0.345 0.655 0.804 Dy
0.845 0.155 0.804 Dy
0.730 0.770 0.869 Dy
0.115 0.885 0.934 Dy
0.938 0.062 0.320 Dy
0.385 0.615 0.066 Dy
0.783 0.217 0.553 Dy
0.438 0.562 0.320 Dy
0.230 0.270 0.869 Dy
0.770 0.730 0.131 Dy
0.169 0.331 0.618 Dy
0.717 0.283 0.447 Dy
0.062 0.938 0.680 Dy
0.331 0.169 0.382 Dy
0.270 0.230 0.131 Dy
0.831 0.669 0.382 Dy
0.669 0.831 0.618 Dy
0.155 0.845 0.196 Dy
0.283 0.717 0.553 Dy
0.562 0.438 0.680 Dy
0.615 0.385 0.934 Dy
0.655 0.345 0.196 Dy
0.217 0.783 0.447 Dy
0.885 0.115 0.066 Dy
0.547 0.953 0.258 Sc
0.047 0.453 0.258 Sc
0.953 0.547 0.742 Sc
0.453 0.047 0.742 Sc
```

First-principles (GGA-PBE) data for a relaxed YBeIn2 crystal, as listed in Alexandria.

## Properties
- Space group: Immm (71)
- Formation energy: 0.03 eV per atom
- Magnetic moment: 0.000 μB/atom

The structure in POSCAR format:
```
YBeIn2
1.0
6.040 0.167 0.158
2.976 5.259 -0.158
-4.166 -3.281 2.900
Y Be In
1 1 2
direct
0.250 0.750 0.500 Y
0.750 0.250 0.500 Be
0.958 0.958 0.000 In
0.542 0.542 0.000 In
```

First-principles (GGA-PBE) data for a relaxed Pm6Dy2Th3 crystal, as listed in Alexandria.

## Properties
- Space group: C2/m (12)
- Formation energy: 0.18 eV per atom
- Magnetic moment: 0.000 μB/atom

The structure in POSCAR format:
```
Pm6Dy2Th3
1.0
5.506 0.000 2.301
2.753 5.730 1.150
-0.234 0.000 11.885
Pm Dy Th
6 2 3
direct
0.502 0.690 0.721 Pm
0.814 0.000 0.771 Pm
0.191 0.310 0.721 Pm
0.186 0.000 0.229 Pm
0.498 0.310 0.279 Pm
0.809 0.690 0.279 Pm
0.144 0.712 0.500 Dy
0.856 0.288 0.500 Dy
0.000 0.000 0.000 Th
0.320 0.359 0.000 Th
0.680 0.641 0.000 Th
```

First-principles (GGA-PBE) data for a relaxed CaY2Pt2 crystal, as listed in Alexandria.

## Properties
- Space group: P4/mbm (127)
- ΔE to the lowest computed polymorph: 181 meV/atom
- Formation energy: -0.82 eV per atom
- Magnetic moment: 0.000 μB/atom

The structure in POSCAR format:
```
CaY2Pt2
1.0
8.396 0.000 0.000
0.000 8.396 0.000
0.000 0.000 3.345
Y Ca Pt
4 2 4
direct
0.360 0.860 0.000 Y
0.860 0.640 0.000 Y
0.640 0.140 0.000 Y
0.140 0.360 0.000 Y
0.000 0.000 0.000 Ca
0.500 0.500 0.000 Ca
0.156 0.656 0.500 Pt
0.656 0.844 0.500 Pt
0.844 0.344 0.500 Pt
0.344 0.156 0.500 Pt
```

VASP energy list, top to bottom, in eV/atom: -5.126, -3.337, -8.029, -2.802, -6.965, -3.474, -5.548, -4.039, -6.592, -6.820, -6.133, -2.551, -11.540, -3.730, -5.717, -2.866, -4.719, -3.883, -5.271, -6.227